Al4CoNi2 | PBE-GGA | relaxed

a = 4.043 Å, b = 4.043 Å, c = 6.921 Å
α = 73.02°, β = 73.02°, γ = 60.00°
Element x y z (fractional)
Ni (0.747, 0.747, 0.760)
Ni (0.253, 0.253, 0.240)
Co (0.000, 0.000, 0.000)
Al (0.872, 0.872, 0.385)
Al (0.128, 0.128, 0.615)
Al (0.622, 0.622, 0.135)
Al (0.378, 0.378, 0.865)

## Properties
ρ	5.1	g/cm3
size of the total moment	0.000	μB/f.u.
E_form	-59.1	kJ/mol of atoms
raw total energy	-37.925	eV for the cell shown

---

BaNa4Au4 | PBE-GGA | relaxed

a = 5.876 Å, b = 9.698 Å, c = 9.698 Å
α = 90.00°, β = 90.00°, γ = 90.00°
Element x y z (fractional)
Ba (0.000, 0.000, 0.000)
Ba (0.500, 0.500, 0.500)
Na (0.402, 0.353, 0.895)
Na (0.902, 0.605, 0.853)
Na (0.402, 0.647, 0.105)
Na (0.098, 0.147, 0.605)
Na (0.598, 0.895, 0.647)
Na (0.098, 0.853, 0.395)
Na (0.902, 0.395, 0.147)
Na (0.598, 0.105, 0.353)
Au (0.594, 0.797, 0.348)
Au (0.594, 0.203, 0.652)
Au (0.094, 0.848, 0.703)
Au (0.906, 0.297, 0.848)
Au (0.906, 0.703, 0.152)
Au (0.406, 0.348, 0.203)
Au (0.406, 0.652, 0.797)
Au (0.094, 0.152, 0.297)

## Properties
ρ	6.1	g/cm3
size of the total moment	0.000	μB/f.u.
E_form	-29.1	kJ/mol of atoms
raw total energy	-46.036	eV for the cell shown

---

VOs2Ru | PBE-GGA | relaxed

a = 4.322 Å, b = 4.322 Å, c = 4.322 Å
α = 60.00°, β = 60.00°, γ = 60.00°
Element x y z (fractional)
Ru (0.500, 0.500, 0.500)
Os (0.250, 0.250, 0.250)
Os (0.750, 0.750, 0.750)
V (0.000, 0.000, 0.000)

## Properties
ρ	15.5	g/cm3
size of the total moment	1.364	μB/f.u.
E above lowest polymorph	373.3	meV per atom
E_form	29.0	kJ/mol of atoms
raw total energy	-39.651	eV for the cell shown

---

BiPt2F | PBE-GGA | relaxed

a = 7.363 Å, b = 7.363 Å, c = 5.843 Å
α = 50.95°, β = 50.95°, γ = 90.00°
Element x y z (fractional)
Bi (0.000, 0.000, 0.000)
Bi (0.750, 0.250, 0.500)
Pt (0.600, 0.125, 0.250)
Pt (0.150, 0.625, 0.250)
Pt (0.375, 0.400, 0.750)
Pt (0.875, 0.850, 0.750)
F (0.500, 0.500, 0.000)
F (0.250, 0.750, 0.500)

## Properties
ρ	14.3	g/cm3
size of the total moment	0.000	μB/f.u.
E above lowest polymorph	0.0	meV per atom
energy relative to the elements, uncorrected	-0.258	eV/atom
raw total energy	-37.729	eV for the cell shown

---

CdNi3P | PBE-GGA | relaxed

a = 4.617 Å, b = 4.617 Å, c = 4.617 Å
α = 90.00°, β = 90.00°, γ = 90.00°
Element x y z (fractional)
Ni (0.000, 0.500, 0.000)
Ni (0.000, 0.000, 0.500)
Ni (0.500, 0.000, 0.000)
P (0.500, 0.500, 0.500)
Cd (0.000, 0.000, 0.000)

## Properties
ρ	5.4	g/cm3
size of the total moment	0.000	μB/f.u.
E above lowest polymorph	1645.0	meV per atom
E_form	149.1	kJ/mol of atoms
raw total energy	-15.940	eV for the cell shown

---

Cs2RbReBr8 | PBE-GGA | relaxed

a = 6.381 Å, b = 7.837 Å, c = 10.873 Å
α = 89.99°, β = 90.01°, γ = 104.71°
Element x y z (fractional)
Cs (0.500, 0.500, 0.755)
Cs (0.500, 0.500, 0.245)
Rb (0.000, 0.000, 0.500)
Re (0.000, 0.000, 0.000)
Br (0.080, 0.800, 0.166)
Br (0.615, 0.829, 0.000)
Br (0.919, 0.200, 0.166)
Br (0.920, 0.200, 0.834)
Br (0.385, 0.171, 0.000)
Br (0.081, 0.800, 0.834)
Br (0.454, 0.764, 0.500)
Br (0.546, 0.236, 0.500)

## Properties
ρ	3.7	g/cm3
size of the total moment	2.782	μB/f.u.
energy relative to the elements, uncorrected	-0.972	eV/atom
raw total energy	-40.175	eV for the cell shown

---

Ba2MgSbO6 | PBE-GGA | relaxed

a = 5.904 Å, b = 5.904 Å, c = 10.496 Å
α = 73.67°, β = 73.67°, γ = 60.00°
Element x y z (fractional)
Ba (0.873, 0.873, 0.382)
Ba (0.127, 0.127, 0.618)
Ba (0.712, 0.712, 0.863)
Ba (0.288, 0.288, 0.137)
Mg (0.000, 0.000, 0.000)
Mg (0.500, 0.500, 0.500)
Sb (0.591, 0.591, 0.228)
Sb (0.409, 0.409, 0.772)
O (0.852, 0.393, 0.361)
O (0.393, 0.852, 0.361)
O (0.393, 0.393, 0.361)
O (0.148, 0.607, 0.639)
O (0.607, 0.148, 0.639)
O (0.607, 0.607, 0.639)
O (0.703, 0.210, 0.878)
O (0.210, 0.703, 0.878)
O (0.210, 0.210, 0.878)
O (0.297, 0.790, 0.122)
O (0.790, 0.297, 0.122)
O (0.790, 0.790, 0.122)

## Properties
ρ	5.7	g/cm3
size of the total moment	1.007	μB/f.u.
energy relative to the elements, uncorrected	-2.175	eV/atom
raw total energy	-122.122	eV for the cell shown

---

IrRuCl2 | PBE-GGA | relaxed

a = 9.668 Å, b = 9.668 Å, c = 9.668 Å
α = 17.86°, β = 17.86°, γ = 17.86°
Element x y z (fractional)
Ru (0.757, 0.757, 0.757)
Ir (0.492, 0.492, 0.492)
Cl (0.025, 0.025, 0.025)
Cl (0.226, 0.226, 0.226)

## Properties
ρ	8.2	g/cm3
size of the total moment	0.000	μB/f.u.
E above lowest polymorph	200.9	meV per atom
energy relative to the elements, uncorrected	0.246	eV/atom
raw total energy	-20.845	eV for the cell shown

---

Pa12Tc6Ge | PBE-GGA | relaxed

a = 7.870 Å, b = 7.870 Å, c = 7.870 Å
α = 96.95°, β = 96.95°, γ = 96.95°
Element x y z (fractional)
Pa (0.812, 0.600, 0.454)
Pa (0.454, 0.812, 0.600)
Pa (0.600, 0.454, 0.812)
Pa (0.188, 0.400, 0.546)
Pa (0.546, 0.188, 0.400)
Pa (0.400, 0.546, 0.188)
Pa (0.074, 0.964, 0.353)
Pa (0.036, 0.647, 0.926)
Pa (0.647, 0.926, 0.036)
Pa (0.926, 0.036, 0.647)
Pa (0.964, 0.353, 0.074)
Pa (0.353, 0.074, 0.964)
Tc (0.666, 0.865, 0.361)
Tc (0.639, 0.334, 0.135)
Tc (0.135, 0.639, 0.334)
Tc (0.334, 0.135, 0.639)
Tc (0.361, 0.666, 0.865)
Tc (0.865, 0.361, 0.666)
Ge (0.000, 0.000, 0.000)

## Properties
ρ	12.0	g/cm3
size of the total moment	0.003	μB/f.u.
E_form	12.7	kJ/mol of atoms
raw total energy	-178.271	eV for the cell shown

---

Na2AuCl4 | PBE-GGA | relaxed

a = 5.231 Å, b = 5.231 Å, c = 7.866 Å
α = 109.42°, β = 109.42°, γ = 90.00°
Element x y z (fractional)
Na (0.629, 0.629, 0.258)
Na (0.371, 0.371, 0.742)
Au (0.000, 0.000, 0.000)
Cl (0.822, 0.822, 0.645)
Cl (0.178, 0.178, 0.355)
Cl (0.000, 0.500, 0.000)
Cl (0.500, 0.000, 0.000)

## Properties
ρ	3.4	g/cm3
size of the total moment	0.002	μB/f.u.
E above lowest polymorph	93.0	meV per atom
energy relative to the elements, uncorrected	-0.987	eV/atom
raw total energy	-20.214	eV for the cell shown

---

GdHoIr2 | PBE-GGA | relaxed

a = 4.859 Å, b = 4.859 Å, c = 4.860 Å
α = 60.00°, β = 60.00°, γ = 60.00°
Element x y z (fractional)
Gd (0.000, 0.000, 0.000)
Ir (0.750, 0.750, 0.750)
Ir (0.250, 0.250, 0.250)
Ho (0.500, 0.500, 0.500)

## Properties
ρ	14.5	g/cm3
size of the total moment	6.752	μB/f.u.
E above lowest polymorph	4.4	meV per atom
E_form	-75.7	kJ/mol of atoms
raw total energy	-39.518	eV for the cell shown

---

MgFeRu | PBE-GGA | relaxed

a = 6.834 Å, b = 6.640 Å, c = 2.704 Å
α = 82.49°, β = 74.42°, γ = 23.09°
Element x y z (fractional)
Fe (0.993, 0.993, 0.007)
Mg (0.667, 0.667, 0.333)
Ru (0.340, 0.340, 0.660)

## Properties
ρ	6.8	g/cm3
size of the total moment	3.218	μB/f.u.
E above lowest polymorph	195.4	meV per atom
E_form	24.3	kJ/mol of atoms
raw total energy	-18.577	eV for the cell shown